Sm5YTmSc2 | PBE | relaxed

```
data_Sm5YTmSc2
_cell_length_a 5.511
_cell_length_b 20.045
_cell_length_c 10.462
_cell_angle_alpha 90.00
_cell_angle_beta 90.00
_cell_angle_gamma 90.00
_symmetry_space_group_name_H-M 'C m c 21'
_symmetry_Int_Tables_number 36
loop_
_symmetry_equiv_pos_as_xyz
'x,y,z'
'-x,-y,z+1/2'
'-x,y,z'
'x,-y,z+1/2'
'x+1/2,y+1/2,z'
'-x+1/2,-y+1/2,z+1/2'
'-x+1/2,y+1/2,z'
'x+1/2,-y+1/2,z+1/2'
loop_
_atom_site_label
_atom_site_type_symbol
_atom_site_fract_x
_atom_site_fract_y
_atom_site_fract_z
Sm1 Sm 0.000 0.012 0.000
Sm2 Sm 0.000 0.277 0.299
Sm3 Sm 0.000 0.301 0.695
Sm4 Sm 0.000 0.383 0.006
Sm5 Sm 0.000 0.481 0.726
Y1 Y 0.000 0.194 0.998
Tm1 Tm 0.000 0.409 0.439
Sc1 Sc 0.000 0.112 0.289
Sc2 Sc 0.000 0.113 0.728
```

Output
E_form, eV per formula unit: 1.57
Density, g cm⁻³: 6.320
Total moment, μB/f.u.: 0.00
VASP energy, eV/atom: -5.069

---

Nd2TmTh | PBE | relaxed

```
data_Nd2TmTh
_cell_length_a 3.6256
_cell_length_b 3.6256
_cell_length_c 35.0237
_cell_angle_alpha 90.00
_cell_angle_beta 90.00
_cell_angle_gamma 120.00
_symmetry_space_group_name_H-M 'R 3 m'
_symmetry_Int_Tables_number 160
_symmetry_space_group_name_Hall 'R 3 -2"'
loop_
_atom_site_label
_atom_site_type_symbol
_atom_site_fract_x
_atom_site_fract_y
_atom_site_fract_z
Nd1 Nd 0.0000 0.0000 0.0000
Nd2 Nd 0.0000 0.0000 0.1676
Tm1 Tm 0.0000 0.0000 0.4175
Th1 Th 0.0000 0.0000 0.5839
```

Output
E_form, eV per formula unit: 0.13
Density, g cm⁻³: 8.615
Total moment, μB/f.u.: 0.00
Energy above the most stable polymorph in this dataset, meV per atom: 0
VASP energy, eV/atom: -5.324

---

LaTb4S6 | PBE | relaxed

```
data_LaTb4S6
_cell_length_a 3.925
_cell_length_b 12.966
_cell_length_c 19.959
_cell_angle_alpha 90.00
_cell_angle_beta 90.00
_cell_angle_gamma 90.00
_symmetry_space_group_name_H-M 'C m c m'
_symmetry_Int_Tables_number 63
_symmetry_space_group_name_Hall '-C 2c 2'
loop_
_atom_site_label
_atom_site_type_symbol
_atom_site_fract_x
_atom_site_fract_y
_atom_site_fract_z
La1 La 0.000 0.156 0.250
Tb1 Tb 0.000 0.093 0.626
Tb2 Tb 0.000 0.361 0.540
S1 S 0.000 0.000 0.000
S2 S 0.000 0.183 0.750
S3 S 0.000 0.268 0.089
S4 S 0.000 0.454 0.665
```

Output
Density, g cm⁻³: 6.323
Total moment, μB/f.u.: 0.00
Uncorrected formation energy, eV/atom: -2.091
VASP energy, eV/atom: -6.475

---

ZrAu2Se | PBE | relaxed

```
data_ZrAu2Se
_cell_length_a 3.840
_cell_length_b 3.840
_cell_length_c 5.483
_cell_angle_alpha 90.00
_cell_angle_beta 90.00
_cell_angle_gamma 90.00
_symmetry_space_group_name_H-M 'P 4/m m m'
_symmetry_Int_Tables_number 123
_symmetry_space_group_name_Hall '-P 4 2'
loop_
_atom_site_label
_atom_site_type_symbol
_atom_site_fract_x
_atom_site_fract_y
_atom_site_fract_z
Zr1 Zr 0.000 0.000 0.000
Au1 Au 0.500 0.500 0.244
Se1 Se 0.000 0.000 0.500
```

Output
Density, g cm⁻³: 11.584
Total moment, μB/f.u.: 0.00
Uncorrected formation energy, eV/atom: -0.314
VASP energy, eV/atom: -4.961

---

CeNd2HoPt2 | PBE | relaxed

```
data_CeNd2HoPt2
_cell_length_a 6.832
_cell_length_b 14.283
_cell_length_c 6.797
_cell_angle_alpha 90.00
_cell_angle_beta 90.00
_cell_angle_gamma 90.00
_symmetry_space_group_name_H-M 'I b a m'
_symmetry_Int_Tables_number 72
_symmetry_space_group_name_Hall '-I 2 2c'
loop_
_atom_site_label
_atom_site_type_symbol
_atom_site_fract_x
_atom_site_fract_y
_atom_site_fract_z
Ce1 Ce 0.000 0.000 0.250
Nd1 Nd 0.239 0.190 0.000
Ho1 Ho 0.000 0.500 0.250
Pt1 Pt 0.248 0.112 0.500
```

Output
E_form, eV per formula unit: -4.57
Density, g cm⁻³: 9.850
Total moment, μB/f.u.: 0.45
VASP energy, eV/atom: -6.117

---

ZrAgBr | PBE | relaxed

```
data_ZrAgBr
_cell_length_a 6.649
_cell_length_b 6.649
_cell_length_c 6.649
_cell_angle_alpha 90.00
_cell_angle_beta 90.00
_cell_angle_gamma 90.00
_symmetry_space_group_name_H-M 'F -4 3 m'
_symmetry_Int_Tables_number 216
_symmetry_space_group_name_Hall 'F -4 2 3'
loop_
_atom_site_label
_atom_site_type_symbol
_atom_site_fract_x
_atom_site_fract_y
_atom_site_fract_z
Zr1 Zr 0.000 0.000 0.000
Ag1 Ag 0.250 0.250 0.250
Br1 Br 0.250 0.250 0.750
```

Output
Density, g cm⁻³: 6.305
Total moment, μB/f.u.: 0.03
Energy above the most stable polymorph in this dataset, meV per atom: 584
Uncorrected formation energy, eV/atom: 0.186
VASP energy, eV/atom: -4.172

---

U2Sb2AuS2 | PBE | relaxed

```
data_U2Sb2AuS2
_cell_length_a 4.4490
_cell_length_b 4.4490
_cell_length_c 12.2773
_cell_angle_alpha 90.00
_cell_angle_beta 90.00
_cell_angle_gamma 120.00
_symmetry_space_group_name_H-M 'P -3 m 1'
_symmetry_Int_Tables_number 164
_symmetry_space_group_name_Hall '-P 3 2"'
loop_
_atom_site_label
_atom_site_type_symbol
_atom_site_fract_x
_atom_site_fract_y
_atom_site_fract_z
U1 U 0.3333 0.6667 0.1438
Sb1 Sb 0.0000 0.0000 0.2884
Au1 Au 0.0000 0.0000 0.5000
S1 S 0.3333 0.6667 0.9192
```

Output
Density, g cm⁻³: 7.738
Total moment, μB/f.u.: 3.03
Uncorrected formation energy, eV/atom: -0.491
VASP energy, eV/atom: -6.541

---

LiYFe2 | PBE | relaxed

```
data_LiYFe2
_cell_length_a 3.286
_cell_length_b 3.286
_cell_length_c 6.150
_cell_angle_alpha 90.00
_cell_angle_beta 90.00
_cell_angle_gamma 90.00
_symmetry_space_group_name_H-M 'P 4/m m m'
_symmetry_Int_Tables_number 123
_symmetry_space_group_name_Hall '-P 4 2'
loop_
_atom_site_label
_atom_site_type_symbol
_atom_site_fract_x
_atom_site_fract_y
_atom_site_fract_z
Li1 Li 0.000 0.000 0.000
Y1 Y 0.000 0.000 0.500
Fe1 Fe 0.500 0.500 0.184
```

Output
E_form, eV per formula unit: 1.38
Density, g cm⁻³: 5.189
Total moment, μB/f.u.: 4.46
Energy above the most stable polymorph in this dataset, meV per atom: 199
VASP energy, eV/atom: -5.980